Material: SmYIr2
Method: DFT, meta-GGA SCAN
State: PBEsol geometry

```
data_SmYIr2
_chemical_formula_sum 'Sm4 Y4 Ir8'
_symmetry_space_group_name_H-M 'F m -3 m'
_symmetry_Int_Tables_number 225
_symmetry_space_group_name_Hall '-F 4 2 3'
_cell_length_a 6.833
_cell_length_b 6.833
_cell_length_c 6.833
_cell_angle_alpha 90.00
_cell_angle_beta 90.00
_cell_angle_gamma 90.00
loop_
_atom_site_label
_atom_site_fract_x
_atom_site_fract_y
_atom_site_fract_z
Sm1 0.000 0.000 0.000
Y1 0.000 0.000 0.500
Ir1 0.250 0.250 0.250
```

Values from the calculation:
**Energy**: -4.0052 Ry/atom

Material: Sm2ZnIr
Method: DFT, meta-GGA SCAN
State: PBEsol geometry

```
data_Sm2ZnIr
_chemical_formula_sum 'Sm8 Zn4 Ir4'
_symmetry_space_group_name_H-M 'F m -3 m'
_symmetry_Int_Tables_number 225
_symmetry_space_group_name_Hall '-F 4 2 3'
_cell_length_a 7.005
_cell_length_b 7.005
_cell_length_c 7.005
_cell_angle_alpha 90.00
_cell_angle_beta 90.00
_cell_angle_gamma 90.00
loop_
_atom_site_label
_atom_site_fract_x
_atom_site_fract_y
_atom_site_fract_z
Sm1 0.250 0.250 0.250
Zn1 0.000 0.000 0.000
Ir1 0.000 0.000 0.500
```

Values from the calculation:
**Energy**: -3.2370 Ry/atom

Material: Sn4Ir
Method: DFT, meta-GGA SCAN
State: PBEsol geometry

```
data_Sn4Ir
_chemical_formula_sum 'Sn16 Ir4'
_symmetry_space_group_name_H-M 'C c c e'
_symmetry_Int_Tables_number 68
_cell_length_a 6.314
_cell_length_b 11.449
_cell_length_c 6.253
_cell_angle_alpha 90.00
_cell_angle_beta 90.00
_cell_angle_gamma 90.00
loop_
_symmetry_equiv_pos_as_xyz
'x,y,z'
'-x,-y,-z'
'-x+1/2,-y,z'
'x+1/2,y,-z'
'x+1/2,-y,-z+1/2'
'-x+1/2,y,z+1/2'
'-x,y,-z+1/2'
'x,-y,z+1/2'
'x+1/2,y+1/2,z'
'-x+1/2,-y+1/2,-z'
'-x,-y+1/2,z'
'x,y+1/2,-z'
'x,-y+1/2,-z+1/2'
'-x,y+1/2,z+1/2'
'-x+1/2,y+1/2,-z+1/2'
'x+1/2,-y+1/2,z+1/2'
loop_
_atom_site_label
_atom_site_fract_x
_atom_site_fract_y
_atom_site_fract_z
Sn1 0.173 0.123 0.077
Ir1 0.000 0.250 0.750
```

Values from the calculation:
**Energy**: -3.1698 Ry/atom

Material: Sn7Ir3
Method: DFT, meta-GGA SCAN
State: PBEsol geometry

```
data_Sn7Ir3
_chemical_formula_sum 'Sn28 Ir12'
_symmetry_space_group_name_H-M 'I m -3 m'
_symmetry_Int_Tables_number 229
_symmetry_space_group_name_Hall '-I 4 2 3'
_cell_length_a 9.368
_cell_length_b 9.368
_cell_length_c 9.368
_cell_angle_alpha 90.00
_cell_angle_beta 90.00
_cell_angle_gamma 90.00
loop_
_atom_site_label
_atom_site_fract_x
_atom_site_fract_y
_atom_site_fract_z
Sn1 0.000 0.250 0.500
Sn2 0.165 0.165 0.165
Ir1 0.000 0.000 0.343
```

Values from the calculation:
**Energy**: -3.4346 Ry/atom

Material: Sn4Ir
Method: DFT, meta-GGA SCAN
State: PBEsol geometry

```
data_Sn4Ir
_chemical_formula_sum 'Sn32 Ir8'
_symmetry_space_group_name_H-M 'I 41/a c d'
_symmetry_Int_Tables_number 142
_cell_length_a 6.297
_cell_length_b 6.297
_cell_length_c 22.789
_cell_angle_alpha 90.00
_cell_angle_beta 90.00
_cell_angle_gamma 90.00
loop_
_symmetry_equiv_pos_as_xyz
'x,y,z'
'-x,-y,-z'
'-y+1/4,x+3/4,z+1/4'
'y+1/4,-x+3/4,-z+1/4'
'-x+1/2,-y,z+1/2'
'x+1/2,y,-z+1/2'
'y+1/4,-x+1/4,z+3/4'
'-y+1/4,x+1/4,-z+3/4'
'x,-y,-z+1/2'
'-x,y,z+1/2'
'-y+1/4,-x+1/4,-z+1/4'
'y+1/4,x+1/4,z+1/4'
'-x+1/2,y,-z'
'x+1/2,-y,z'
'y+1/4,x+3/4,-z+3/4'
'-y+1/4,-x+3/4,z+3/4'
'x+1/2,y+1/2,z+1/2'
'-x+1/2,-y+1/2,-z+1/2'
'-y+3/4,x+1/4,z+3/4'
'y+3/4,-x+1/4,-z+3/4'
'-x,-y+1/2,z'
'x,y+1/2,-z'
'y+3/4,-x+3/4,z+1/4'
'-y+3/4,x+3/4,-z+1/4'
'x+1/2,-y+1/2,-z'
'-x+1/2,y+1/2,z'
'-y+3/4,-x+3/4,-z+3/4'
'y+3/4,x+3/4,z+3/4'
'-x,y+1/2,-z+1/2'
'x,-y+1/2,z+1/2'
'y+3/4,x+1/4,-z+1/4'
'-y+3/4,-x+1/4,z+1/4'
loop_
_atom_site_label
_atom_site_fract_x
_atom_site_fract_y
_atom_site_fract_z
Sn1 0.172 0.077 0.439
Ir1 0.000 0.250 0.125
```

Values from the calculation:
**Energy**: -3.1700 Ry/atom

Material: Sn2Ir
Method: DFT, meta-GGA SCAN
State: PBEsol geometry

```
data_Sn2Ir
_chemical_formula_sum 'Sn8 Ir4'
_symmetry_space_group_name_H-M 'F m -3 m'
_symmetry_Int_Tables_number 225
_symmetry_space_group_name_Hall '-F 4 2 3'
_cell_length_a 6.337
_cell_length_b 6.337
_cell_length_c 6.337
_cell_angle_alpha 90.00
_cell_angle_beta 90.00
_cell_angle_gamma 90.00
loop_
_atom_site_label
_atom_site_fract_x
_atom_site_fract_y
_atom_site_fract_z
Sn1 0.250 0.250 0.250
Ir1 0.000 0.000 0.000
```

Values from the calculation:
**Energy**: -3.5265 Ry/atom

Material: SrSn2Ir
Method: DFT, meta-GGA SCAN
State: PBEsol geometry

```
data_SrSn2Ir
_chemical_formula_sum 'Sr4 Sn8 Ir4'
_symmetry_space_group_name_H-M 'F m -3 m'
_symmetry_Int_Tables_number 225
_symmetry_space_group_name_Hall '-F 4 2 3'
_cell_length_a 6.999
_cell_length_b 6.999
_cell_length_c 6.999
_cell_angle_alpha 90.00
_cell_angle_beta 90.00
_cell_angle_gamma 90.00
loop_
_atom_site_label
_atom_site_fract_x
_atom_site_fract_y
_atom_site_fract_z
Sr1 0.000 0.000 0.000
Sn1 0.250 0.250 0.250
Ir1 0.000 0.000 0.500
```

Values from the calculation:
**Energy**: -3.0438 Ry/atom

Material: Sr3Sn4Ir4
Method: DFT, meta-GGA SCAN
State: PBEsol geometry

```
data_Sr3Sn4Ir4
_chemical_formula_sum 'Sr6 Sn8 Ir8'
_symmetry_space_group_name_H-M 'I -4 3 m'
_symmetry_Int_Tables_number 217
_symmetry_space_group_name_Hall 'I -4 2 3'
_cell_length_a 8.060
_cell_length_b 8.060
_cell_length_c 8.060
_cell_angle_alpha 90.00
_cell_angle_beta 90.00
_cell_angle_gamma 90.00
loop_
_atom_site_label
_atom_site_fract_x
_atom_site_fract_y
_atom_site_fract_z
Sr1 0.000 0.000 0.500
Sn1 0.194 0.194 0.806
Ir1 0.124 0.124 0.124
```

Values from the calculation:
**Energy**: -3.3525 Ry/atom